Model 1:
Entry from the Alexandria database: crystalline TlCo2Os at its relaxed geometry (GGA-PBE).

a = 8.7618 Å, b = 8.7618 Å, c = 8.7618 Å
α = 18.59°, β = 18.59°, γ = 18.59°
Closest atoms and distances in Å follow each position.
Atoms (fractional coordinates):
Co 0.9932 0.9932 0.9932  3 Os 2.56, 6 Co 2.83, 3 Tl 2.84
Co 0.5068 0.5068 0.5068  3 Os 2.56, 6 Co 2.83, 3 Tl 2.84
Os 0.2500 0.2500 0.2500  6 Co 2.56, 6 Os 2.83
Tl 0.7500 0.7500 0.7500  6 Tl 2.83, 6 Co 2.84

Model 2:
Entry from the Alexandria database: crystalline TlCo2Os at its relaxed geometry (GGA-PBE).

a = 4.0869 Å, b = 2.7792 Å, c = 5.2417 Å
α = 74.53°, β = 90.00°, γ = 90.00°
Closest atoms and distances in Å follow each position.
Atoms (fractional coordinates):
Co 0.0000 0.1858 0.0040  2 Co 2.47, 2 Os 2.54, 4 Tl 2.69
Co 0.5000 0.0485 0.2781  2 Co 2.47, 4 Os 2.58, 1 Tl 2.60
Os 0.0000 0.4735 0.4259  6 Co 2.54-2.58, 2 Os 2.78
Tl 0.5000 0.7923 0.7920  7 Co 2.60-2.82, 2 Tl 2.78

Model 3:
Entry from the Alexandria database: crystalline TlCo2Os at its relaxed geometry (GGA-PBE).

a = 5.2327 Å, b = 5.2327 Å, c = 5.2327 Å
α = 147.97°, β = 129.45°, γ = 61.10°
Closest atoms and distances in Å follow each position.
Atoms (fractional coordinates):
Co 0.9790 0.9790 0.0000  2 Co 2.46, 4 Os 2.69
Co 0.7573 0.2573 0.5000  2 Co 2.46, 2 Os 2.57, 4 Tl 2.66
Os 0.5217 0.5217 0.0000  6 Co 2.57-2.69
Tl 0.2420 0.7420 0.5000  6 Co 2.66-2.78, 2 Tl 2.89, 2 Os 2.91

Model 4:
Entry from the Alexandria database: crystalline TlCo2Os at its relaxed geometry (GGA-PBE).

a = 4.3849 Å, b = 4.3849 Å, c = 4.3849 Å
α = 60.00°, β = 60.00°, γ = 60.00°
Closest atoms and distances in Å follow each position.
Atoms (fractional coordinates):
Co 0.0000 0.0000 0.0000  4 Co 2.69, 4 Tl 2.69
Co 0.2500 0.2500 0.2500  4 Co 2.69, 4 Os 2.69
Os 0.5000 0.5000 0.5000  4 Tl 2.69, 4 Co 2.69
Tl 0.7500 0.7500 0.7500  4 Co 2.69, 4 Os 2.69

Which of them is most stable, and which least? Most stable: model 2; least stable: model 4.

Model 1:
Entry from the Alexandria database: crystalline TlCo2Os at its relaxed geometry (GGA-PBE).

a = 6.3716 Å, b = 4.5572 Å, c = 2.8095 Å
α = 89.97°, β = 63.89°, γ = 124.29°
Closest atoms and distances in Å follow each position.
Atoms (fractional coordinates):
Co 0.0000 0.0000 0.0000  4 Tl 2.68, 4 Os 2.68, 4 Co 2.81-2.86
Co 0.5000 0.0000 0.5000  4 Os 2.68, 4 Tl 2.68, 4 Co 2.81-2.86
Os 0.0000 0.5000 0.5000  8 Co 2.68, 2 Os 2.81, 2 Tl 2.86
Tl 0.5000 0.5000 0.0000  8 Co 2.68, 2 Tl 2.81, 2 Os 2.86

Model 2:
Entry from the Alexandria database: crystalline TlCo2Os at its relaxed geometry (GGA-PBE).

a = 2.9420 Å, b = 2.9420 Å, c = 6.8113 Å
α = 90.00°, β = 90.00°, γ = 90.00°
Closest atoms and distances in Å follow each position.
Atoms (fractional coordinates):
Co 0.0000 0.0000 0.0495  4 Co 2.45, 1 Os 2.69
Co 0.5000 0.5000 0.2405  4 Co 2.45, 4 Os 2.50
Os 0.0000 0.0000 0.4439  5 Co 2.50-2.69
Tl 0.5000 0.5000 0.7662  4 Co 2.84, 4 Tl 2.94, 4 Os 3.02

Model 3:
Entry from the Alexandria database: crystalline TlCo2Os at its relaxed geometry (GGA-PBE).

a = 4.5772 Å, b = 4.5772 Å, c = 4.8318 Å
α = 79.89°, β = 79.89°, γ = 35.62°
Closest atoms and distances in Å follow each position.
Atoms (fractional coordinates):
Co 0.0100 0.0100 0.9756  2 Os 2.46, 3 Co 2.61-2.74, 3 Tl 2.62-2.73
Co 0.7504 0.7504 0.7315  3 Os 2.50-2.56, 5 Co 2.61-2.80, 2 Tl 2.77
Os 0.4874 0.4874 0.5662  5 Co 2.46-2.56
Tl 0.2521 0.2521 0.2266  7 Co 2.62-2.81, 2 Tl 2.80, 3 Os 2.85-2.93

Which of them is most stable, and which least? Most stable: model 3; least stable: model 1.

Model 1:
Entry from the Alexandria database: crystalline TlCo2Os at its relaxed geometry (GGA-PBE).

a = 6.9422 Å, b = 6.9422 Å, c = 5.6167 Å
α = 51.83°, β = 51.83°, γ = 90.00°
Closest atoms and distances in Å follow each position.
Atoms (fractional coordinates):
Co 0.5794 0.1250 0.2500  2 Os 2.34
Co 0.1706 0.6250 0.2500  2 Os 2.34
Co 0.3750 0.4206 0.7500  2 Os 2.34
Co 0.8750 0.8294 0.7500  2 Os 2.34
Tl 0.0000 0.0000 0.0000  2 Os 2.73, 8 Co 2.77-3.04
Tl 0.7500 0.2500 0.5000  2 Os 2.73, 8 Co 2.77-3.04
Os 0.5000 0.5000 0.0000  4 Co 2.34
Os 0.2500 0.7500 0.5000  4 Co 2.34

Model 2:
Entry from the Alexandria database: crystalline TlCo2Os at its relaxed geometry (GGA-PBE).

a = 4.3562 Å, b = 4.3562 Å, c = 4.3562 Å
α = 60.00°, β = 60.00°, γ = 60.00°
Closest atoms and distances in Å follow each position.
Atoms (fractional coordinates):
Co 0.2500 0.2500 0.2500  4 Tl 2.67, 4 Os 2.67
Co 0.7500 0.7500 0.7500  4 Os 2.67, 4 Tl 2.67
Tl 0.5000 0.5000 0.5000  8 Co 2.67
Os 0.0000 0.0000 0.0000  8 Co 2.67

Which of them is most stable, and which least? Most stable: model 2; least stable: model 1.